Below is an optimized crystal structure of CuHg2Te, with properties calculated at the PBE-GGA level.

Output
The value obtained for the theoretical density is 9.8 Mg/m³. The uncorrected formation energy is 252 meV/atom.

Cell lengths 4.3149, 4.3146, 5.3953 Å; angles 90.00, 90.00, 90.00 degrees
Last column: nearest neighbours and their distance in Å.
Positions (direct):
Cu 0.5000 0.5000 0.7500  2 Te 2.70
Hg 0.0000 0.0000 0.9969  2 Hg 2.66-2.73
Hg 0.0000 0.0000 0.5031  2 Hg 2.66-2.73
Te 0.5000 0.5000 0.2500  2 Cu 2.70